DFT (GGA-PBE) results for CaHfAs2O8 after structural relaxation.

The value obtained for the density of states at the Fermi level is 0.00 states/eV/f.u. The total energy comes out at -7.24 eV/atom. Its uncorrected formation energy is -2.159 eV per atom. The value obtained for the total moment is 0.0 μB/cell.

a b c (Å): 5.845 5.845 5.845
angles (deg): 106.34 106.34 115.94
Fractional coordinates of all 12 atoms:
1 O 0.381 0.057 0.324
2 O 0.479 0.672 0.807
3 O 0.943 0.267 0.324
4 O 0.328 0.135 0.807
5 O 0.865 0.672 0.193
6 O 0.733 0.057 0.676
7 O 0.943 0.619 0.676
8 O 0.328 0.521 0.193
9 Ca 0.000 0.000 0.000
10 As 0.750 0.250 0.500
11 As 0.500 0.500 0.000
12 Hf 0.250 0.750 0.500